{"formula": "KSi2Rh", "functional": "PBE-GGA", "state": "optimized geometry", "total_magnetization_mub_per_cell": 0.00, "de_polymorph_kj_per_mol_fu": 23, "raw_formation_energy_mev_per_atom": -148.3, "rho_g_cm3": 3.9, "lattice_angstrom": [[3.142, 0.000, 0.000], [0.000, 3.791, 0.000], [-0.248, 0.000, 7.116]], "species": ["K", "Si", "Si", "Rh"], "frac_coords": [[0.000, 0.000, 0.000], [0.461, 0.000, 0.465], [0.474, 0.500, 0.680], [0.954, 0.500, 0.409]]}